Version A
This record from Alexandria via LeMat-Bulk describes an optimized crystal structure of Pa3Co. The functional is GGA-PBE.

- calculated density (g cm⁻³) = 14.29
- N(E_F) (states/eV/atom) = 1.892

Lattice parameters (Å, degrees): 6.515 9.361 5.730 90.00 90.00 90.00
Positions (direct):
Pa1 0.066 0.250 0.155
Pa2 0.195 0.055 0.641
Pa3 0.195 0.445 0.641
Pa4 0.305 0.555 0.141
Pa5 0.305 0.945 0.141
Pa6 0.434 0.750 0.655
Pa7 0.566 0.250 0.345
Pa8 0.695 0.055 0.859
Pa9 0.695 0.445 0.859
Pa10 0.805 0.555 0.359
Pa11 0.805 0.945 0.359
Pa12 0.934 0.750 0.845
Co1 0.084 0.750 0.391
Co2 0.416 0.250 0.891
Co3 0.584 0.750 0.109
Co4 0.916 0.250 0.609

***

Version B
This record from Alexandria via LeMat-Bulk describes an optimized crystal structure of Pa3Co. The functional is GGA-PBE.

- calculated density (g cm⁻³) = 14.41
- N(E_F) (states/eV/atom) = 1.465

Lattice parameters (Å, degrees): 5.719 5.719 5.719 146.34 68.76 122.00
Positions (direct):
Pa1 0.000 0.000 0.000
Pa2 0.254 0.459 0.795
Pa3 0.663 0.459 0.205
Co1 0.611 0.111 0.500

***

Version C
This record from Alexandria via LeMat-Bulk describes an optimized crystal structure of Pa3Co. The functional is GGA-PBE.

- calculated density (g cm⁻³) = 14.20
- N(E_F) (states/eV/atom) = 1.837

Lattice parameters (Å, degrees): 3.114 3.194 8.844 90.00 90.00 90.00
Positions (direct):
Pa1 0.000 0.000 0.000
Pa2 0.000 0.500 0.305
Pa3 0.500 0.500 0.721
Co1 0.500 0.000 0.485

***

Verdict on stability: version A comes out on top.

***

Version A
This record from Alexandria via LeMat-Bulk describes an optimized crystal structure of Pa5Co. The functional is GGA-PBE.

- calculated density (g cm⁻³) = 14.89
- N(E_F) (states/eV/atom) = 1.674

Lattice parameters (Å, degrees): 7.910 7.910 3.280 90.00 90.00 138.70
Positions (direct):
Pa1 0.000 0.000 0.000
Pa2 0.181 0.819 0.500
Pa3 0.361 0.639 0.000
Pa4 0.639 0.361 0.000
Pa5 0.819 0.181 0.500
Co1 0.500 0.500 0.500

***

Version B
This record from Alexandria via LeMat-Bulk describes an optimized crystal structure of Pa5Co. The functional is GGA-PBE.

- calculated density (g cm⁻³) = 14.82
- N(E_F) (states/eV/atom) = 1.698

Lattice parameters (Å, degrees): 5.508 5.508 8.282 105.55 105.55 34.33
Positions (direct):
Pa1 0.000 0.000 0.000
Pa2 0.313 0.313 0.193
Pa3 0.364 0.364 0.641
Pa4 0.636 0.636 0.359
Pa5 0.687 0.687 0.807
Co1 0.000 0.000 0.500

***

Verdict on stability: version A comes out on top.

***

Version A
This record from Alexandria via LeMat-Bulk describes an optimized crystal structure of PaCoPd. The functional is GGA-PBE.

- calculated density (g cm⁻³) = 12.75
- N(E_F) (states/eV/atom) = 0.931

Lattice parameters (Å, degrees): 5.270 5.270 5.431 90.00 90.00 136.78
Positions (direct):
Pa1 0.183 0.817 0.750
Pa2 0.817 0.183 0.250
Co1 0.135 0.865 0.250
Co2 0.865 0.135 0.750
Pd1 0.500 0.500 0.000
Pd2 0.500 0.500 0.500

***

Version B
This record from Alexandria via LeMat-Bulk describes an optimized crystal structure of PaCoPd. The functional is GGA-PBE.

- calculated density (g cm⁻³) = 12.24
- N(E_F) (states/eV/atom) = 1.100

Lattice parameters (Å, degrees): 3.531 3.531 8.944 100.72 100.72 90.02
Positions (direct):
Pa1 0.120 0.120 0.225
Pa2 0.880 0.880 0.775
Co1 0.000 0.500 0.000
Co2 0.500 0.000 0.000
Pd1 0.292 0.292 0.590
Pd2 0.708 0.708 0.410

***

Version C
This record from Alexandria via LeMat-Bulk describes an optimized crystal structure of PaCoPd. The functional is GGA-PBE.

- calculated density (g cm⁻³) = 12.03
- N(E_F) (states/eV/atom) = 1.933

Lattice parameters (Å, degrees): 4.344 4.344 3.349 90.00 90.00 120.00
Positions (direct):
Pa1 0.000 0.000 0.000
Co1 0.667 0.333 0.500
Pd1 0.333 0.667 0.500

***

Verdict on stability: version A comes out on top.

***

Version A
This record from Alexandria via LeMat-Bulk describes an optimized crystal structure of PaCoPd2. The functional is GGA-PBE.

- calculated density (g cm⁻³) = 12.64
- N(E_F) (states/eV/atom) = 0.172

Lattice parameters (Å, degrees): 3.932 3.932 4.271 90.00 90.00 90.00
Positions (direct):
Pa1 0.000 0.000 0.000
Co1 0.500 0.500 0.000
Pd1 0.000 0.500 0.500
Pd2 0.500 0.000 0.500

***

Version B
This record from Alexandria via LeMat-Bulk describes an optimized crystal structure of PaCoPd2. The functional is GGA-PBE.

- calculated density (g cm⁻³) = 11.95
- N(E_F) (states/eV/atom) = 0.627

Lattice parameters (Å, degrees): 4.623 4.623 4.623 60.00 60.00 60.00
Positions (direct):
Pa1 0.000 0.000 0.000
Co1 0.500 0.500 0.500
Pd1 0.250 0.250 0.250
Pd2 0.750 0.750 0.750

***

Verdict on stability: version A comes out on top.